First-principles (PBE-GGA) data for crystalline Tb2ZnGa4Ni3 at its relaxed geometry, as listed in the Alexandria database.

Values from the calculation:
Density of states at the Fermi level, states/eV/f.u.: 5.84
Magnetization, μB/f.u.: 0.00
Formation enthalpy at 0 K, meV per atom: -551.0

Unit cell a=4.049 b=4.049 c=10.340 alpha=90.00 beta=90.00 gamma=90.00
Atoms (fractional coordinates):
Ga  0.500  0.000  0.641
Ni  0.000  0.000  0.500
Ga  0.000  0.500  0.359
Ga  0.500  0.500  0.000
Ga  0.000  0.000  0.000
Ni  0.000  0.500  0.131
Zn  0.500  0.500  0.500
Tb  0.000  0.500  0.760
Ni  0.500  0.000  0.869
Tb  0.500  0.000  0.240